This record from the Alexandria database describes a relaxed Al2PbBr crystal. The functional is GGA-PBE.

Properties
theoretical density = 5727 kg/m³
uncorrected formation energy = 0.1684 eV/atom

```
Al2PbBr
1.0
-1.147 -3.170 0.602
3.387 0.501 0.011
-0.309 1.887 9.340
Br Al Pb
1 2 1
Direct
0.500 0.500 0.250
0.000 0.000 0.483
0.000 0.000 0.017
0.500 0.500 0.750
```